The following is a PBE calculation of crystalline CaY4HoTm2 at its relaxed geometry, from Alexandria.

**M_tot**: 2.73 μB/f.u.
**VASP energy**: -4.725 eV per atom

Cell: 9.582 9.582 11.925 Å, 128.52 128.52 88.34°
Last column: magnetic moment on the atom in μB.
Fractional positions:
Ca1 0.500 0.500 0.500  0.03
Ca2 0.000 0.000 0.000  0.03
Y1 0.256 0.745 0.001  0.23
Y2 0.755 0.244 0.499  0.23
Y3 0.245 0.756 0.501  0.23
Y4 0.744 0.255 0.999  0.23
Y5 0.746 0.749 0.015  0.20
Y6 0.751 0.754 0.485  0.20
Y7 0.249 0.246 0.515  0.20
Y8 0.254 0.251 0.985  0.20
Ho1 0.000 0.500 0.000  0.32
Ho2 0.000 0.500 0.500  0.32
Tm1 0.500 0.000 0.000  0.30
Tm2 0.500 0.000 0.500  0.30
Tm3 0.000 0.000 0.500  0.23
Tm4 0.500 0.500 0.000  0.23


The following is a PBE calculation of crystalline Tb2PrSe at its relaxed geometry, from Alexandria.

**M_tot**: 0.00 μB/f.u.
**E_form (uncorrected)**: -0.60 eV per atom
**Offset from the most stable computed form**: 0.215 eV per atom

Cell: 3.751 3.751 10.737 Å, 79.94 79.94 60.00°
Fractional positions:
Pr1 0.000 0.000 0.000
Tb1 0.110 0.110 0.671
Tb2 0.890 0.890 0.329
Se1 0.500 0.500 0.500


The following is a PBE calculation of crystalline GdPaPdRh at its relaxed geometry, from Alexandria.

**M_tot**: 7.78 μB/f.u.
**VASP energy**: -9.615 eV per atom

Cell: 4.938 4.938 4.938 Å, 60.00 60.00 60.00°
Last column: magnetic moment on the atom in μB.
Fractional positions:
Gd1 0.250 0.250 0.250  7.07
Pa1 0.750 0.750 0.750  0.54
Rh1 0.000 0.000 0.000  -0.07
Pd1 0.500 0.500 0.500  0.00